KRbY2Tc | meta-GGA SCAN | PBEsol geometry

Structure (POSCAR):
```
KRbY2Tc
1.0
5.233 0.000 0.000
0.000 5.233 0.000
0.000 0.000 6.856
Tc K Y Rb
1 1 2 1
direct
0.000 0.000 0.000
0.000 0.000 0.500
0.000 0.500 0.000
0.500 0.000 0.000
0.500 0.500 0.500
```

ΔE_f (kJ/mol of atoms): 49
Symmetry: P4/mmm, No. 123

K2RbZrTc | meta-GGA SCAN | PBEsol geometry

Structure (POSCAR):
```
K2RbZrTc
1.0
5.678 0.000 0.000
0.000 5.678 0.000
0.000 0.000 5.980
Rb Tc K Zr
1 1 2 1
direct
0.000 0.000 0.000
0.500 0.500 0.500
0.500 0.000 0.000
0.000 0.500 0.000
0.000 0.000 0.500
```

ΔE_f (kJ/mol of atoms): 197
Symmetry: P4/mmm, No. 123

KRb3Ti | meta-GGA SCAN | PBEsol geometry

Structure (POSCAR):
```
KRb3Ti
1.0
7.347 0.000 0.000
0.000 7.347 0.000
0.000 0.000 7.347
Rb Ti K
3 1 1
direct
0.000 0.000 0.500
0.500 0.000 0.000
0.000 0.500 0.000
0.500 0.500 0.500
0.000 0.000 0.000
```

ΔE_f (kJ/mol of atoms): 98
Symmetry: Pm-3m, No. 221

KRbTl2 | meta-GGA SCAN | PBEsol geometry

Structure (POSCAR):
```
KRbTl2
1.0
-0.763 5.849 -0.898
-5.174 2.592 1.454
-0.268 3.724 4.655
Tl K Rb
2 1 1
direct
0.250 0.250 0.250
0.750 0.750 0.750
0.000 0.000 0.000
0.500 0.500 0.500
```

ΔE_f (kJ/mol of atoms): -4
Symmetry: Fm-3m, No. 225

KRb2Tl2 | meta-GGA SCAN | PBEsol geometry

Structure (POSCAR):
```
KRb2Tl2
1.0
-5.069 3.132 -0.971
-2.991 -2.355 8.016
3.780 7.212 3.529
K Rb Tl
2 4 4
direct
0.000 0.000 0.000
0.000 0.500 0.500
0.500 0.173 0.673
0.500 0.327 0.173
0.500 0.673 0.827
0.500 0.827 0.327
0.000 0.884 0.616
0.000 0.616 0.116
0.000 0.384 0.884
0.000 0.116 0.384
```

ΔE_f (kJ/mol of atoms): -9
Symmetry: P4/mbm, No. 127

K3RbTl | meta-GGA SCAN | PBEsol geometry

Structure (POSCAR):
```
K3RbTl
1.0
6.856 0.000 0.000
0.000 6.856 0.000
0.000 0.000 6.856
Tl K Rb
1 3 1
direct
0.000 0.000 0.000
0.000 0.500 0.000
0.000 0.000 0.500
0.500 0.000 0.000
0.500 0.500 0.500
```

ΔE_f (kJ/mol of atoms): -2
Symmetry: Pm-3m, No. 221

KRb3Tl | meta-GGA SCAN | PBEsol geometry

Structure (POSCAR):
```
KRb3Tl
1.0
7.452 0.000 0.000
0.000 7.452 0.000
0.000 0.000 7.452
K Rb Tl
1 3 1
direct
0.000 0.000 0.000
0.000 0.000 0.500
0.500 0.000 0.000
0.000 0.500 0.000
0.500 0.500 0.500
```

ΔE_f (kJ/mol of atoms): 41
Symmetry: Pm-3m, No. 221

KRbW3 | meta-GGA SCAN | PBEsol geometry

Structure (POSCAR):
```
KRbW3
1.0
-1.179 3.325 -3.230
-1.335 -3.435 -3.049
-4.439 0.150 1.775
W Rb K
3 1 1
direct
0.000 0.500 0.000
0.000 0.000 0.500
0.500 0.000 0.000
0.500 0.500 0.500
0.000 0.000 0.000
```

ΔE_f (kJ/mol of atoms): 428
Symmetry: Pm-3m, No. 221

K2RbW | meta-GGA SCAN | PBEsol geometry

Structure (POSCAR):
```
K2RbW
1.0
-2.645 -5.730 0.016
2.977 -4.858 -2.714
2.445 -4.594 3.569
K W Rb
2 1 1
direct
0.750 0.750 0.750
0.250 0.250 0.250
0.500 0.500 0.500
0.000 0.000 0.000
```

ΔE_f (kJ/mol of atoms): 150
Symmetry: Fm-3m, No. 225

KRbZr3 | meta-GGA SCAN | PBEsol geometry

Structure (POSCAR):
```
KRbZr3
1.0
-2.253 -0.381 4.707
-0.660 -5.138 -0.732
4.676 -0.909 2.165
K Rb Zr
1 1 3
direct
0.500 0.500 0.500
0.000 0.000 0.000
0.000 0.000 0.500
0.000 0.500 0.000
0.500 0.000 0.000
```

ΔE_f (kJ/mol of atoms): 207
Symmetry: Pm-3m, No. 221

KRb3Zr | meta-GGA SCAN | PBEsol geometry

Structure (POSCAR):
```
KRb3Zr
1.0
-2.786 4.888 -4.266
1.410 -4.075 -5.591
-6.333 -3.058 0.632
Rb K Zr
3 1 1
direct
0.000 0.000 0.500
0.500 0.000 0.000
0.000 0.500 0.000
0.500 0.500 0.500
0.000 0.000 0.000
```

ΔE_f (kJ/mol of atoms): 84
Symmetry: Pm-3m, No. 221

K3Re | meta-GGA SCAN | PBEsol geometry

Structure (POSCAR):
```
K3Re
1.0
5.396 0.000 0.000
0.000 5.410 0.000
0.000 0.000 5.410
K Re
3 1
direct
0.000 0.000 0.500
0.500 0.500 0.500
0.000 0.500 0.000
0.500 0.000 0.000
```

ΔE_f (kJ/mol of atoms): 150
Symmetry: P4/mmm, No. 123
Energy above the most stable polymorph in this dataset (kcal/mol of atoms): 2.079

What did the tenth record say?
KRbZr3 | meta-GGA SCAN | PBEsol geometry

Structure (POSCAR):
```
KRbZr3
1.0
-2.253 -0.381 4.707
-0.660 -5.138 -0.732
4.676 -0.909 2.165
K Rb Zr
1 1 3
direct
0.500 0.500 0.500
0.000 0.000 0.000
0.000 0.000 0.500
0.000 0.500 0.000
0.500 0.000 0.000
```

ΔE_f (kJ/mol of atoms): 207
Symmetry: Pm-3m, No. 221

Which formula does entry 6 have?
K3RbTl

ΔE_f of number 8 (KRbW3)?
428 kJ/mol of atoms

Which value of ΔE_f does entry 2 give?
197 kJ/mol of atoms